A plane-wave DFT calculation with PBE-GGA was carried out for a relaxed CsMnMo2S8 crystal.

Values from the calculation:
crystal system: trigonal
raw formation energy: -0.505 eV/atom
spin magnetization: 4.00 μB per formula unit
DOS(E_F): 0.39 states/eV per atom

a = 6.2420 Å, b = 6.2420 Å, c = 10.3336 Å
α = 72.42°, β = 72.42°, γ = 60.00°
Positions (direct):
Cs1 0.5000 0.5000 0.5000
Mn1 0.0000 0.0000 0.0000
Mo1 0.2607 0.2607 0.2178
Mo2 0.7393 0.7393 0.7822
S1 0.1860 0.1860 0.4420
S2 0.6321 0.2653 0.1473
S3 0.8140 0.8140 0.5580
S4 0.9553 0.6321 0.1473
S5 0.0447 0.3679 0.8527
S6 0.2653 0.9553 0.1473
S7 0.7347 0.0447 0.8527
S8 0.3679 0.7347 0.8527